(1)
This record from Alexandria describes a geometry-optimized Re2AsAu structure. The functional is PBE.

Properties
E ... -29.92 eV/cell

Cell and atoms, written as extended XYZ:
```
4
Lattice="-0.242 -2.454 -1.573 4.181 -1.432 1.590 -2.123 -2.136 3.660" Properties=species:S:1:pos:R:3 pbc="T T T"
Re 1.969 -1.943 0.009
Re 0.000 0.000 0.000
As -1.183 -2.295 1.044
Au 1.029 -1.784 2.625
```

(2)
This record from Alexandria describes a geometry-optimized Re2AsAu structure. The functional is PBE.

Properties
E ... -30.98 eV/cell

Cell and atoms, written as extended XYZ:
```
4
Lattice="-1.013 -2.567 -8.326 1.856 -2.916 -8.061 0.053 -5.017 -7.194" Properties=species:S:1:pos:R:3 pbc="T T T"
As 0.224 -2.625 -5.895
Re 0.455 -5.327 -11.965
Re 0.889 -10.421 -23.406
Au 0.672 -7.874 -17.686
```

(3)
This record from Alexandria describes a geometry-optimized Re2AsAu structure. The functional is PBE.

Properties
E ... -30.78 eV/cell

Cell and atoms, written as extended XYZ:
```
4
Lattice="5.455 0.010 0.005 2.750 4.711 -0.005 -3.576 -3.275 2.498" Properties=species:S:1:pos:R:3 pbc="T T T"
As 2.991 -0.453 1.252
Re 7.883 4.536 0.000
Re 4.423 2.545 0.000
Au 1.638 1.898 1.246
```

(4)
This record from Alexandria describes a geometry-optimized Re2AsAu structure. The functional is PBE.

Properties
E ... -31.09 eV/cell

Cell and atoms, written as extended XYZ:
```
4
Lattice="2.795 -0.016 0.000 -1.302 2.473 0.000 0.000 0.000 9.898" Properties=species:S:1:pos:R:3 pbc="T T T"
As 0.000 0.000 4.685
Re 0.000 0.000 0.228
Re 0.746 1.229 2.369
Au 0.746 1.229 7.565
```

(5)
This record from Alexandria describes a geometry-optimized Re2AsAu structure. The functional is PBE.

Properties
E ... -31.03 eV/cell

Cell and atoms, written as extended XYZ:
```
4
Lattice="-0.064 2.578 3.483 -2.844 0.556 -0.464 -2.675 -3.707 2.694" Properties=species:S:1:pos:R:3 pbc="T T T"
As -2.195 -1.583 1.131
Re -0.237 -0.154 0.109
Re -1.940 0.620 2.202
Au -3.971 -1.030 3.385
```

(6)
This record from Alexandria describes a geometry-optimized ReAsRhAu2 structure. The functional is PBE.

Properties
E ... -23.52 eV/cell

Cell and atoms, written as extended XYZ:
```
5
Lattice="5.024 0.000 0.000 0.000 4.598 0.000 0.000 0.000 5.024" Properties=species:S:1:pos:R:3 pbc="T T T"
Rh 0.000 0.000 0.000
Re 0.000 2.299 0.000
As 2.512 2.299 2.512
Au 0.000 0.000 2.512
Au 2.512 0.000 0.000
```